PrPaNiO6 | PBE with a Hubbard U | optimized geometry

Structure (CIF):
```
data_PrPaNiO6
_chemical_formula_sum 'Pr1 Pa1 Ni1 O6'
_cell_length_a 5.503
_cell_length_b 5.503
_cell_length_c 4.851
_cell_angle_alpha 90.00
_cell_angle_beta 90.00
_cell_angle_gamma 120.00
_space_group_name_H-M_alt 'P 1'
_space_group_IT_number 1
_space_group_name_Hall 'P 1'
loop_
_atom_site_label
_atom_site_type_symbol
_atom_site_fract_x
_atom_site_fract_y
_atom_site_fract_z
Pr1 Pr 0.000 0.000 0.000
Pa1 Pa 0.667 0.333 0.500
Ni1 Ni 0.333 0.667 0.000
O1 O 0.013 0.381 0.240
O2 O 0.013 0.632 0.760
O3 O 0.368 0.381 0.760
O4 O 0.368 0.987 0.240
O5 O 0.619 0.632 0.240
O6 O 0.619 0.987 0.760
```

Space group   P312, No. 149
DFT total energy   -7.4210 eV per atom
DOS(E_F)   8.2 states/eV/f.u.